A relaxed structure of K3Nd2HfSe6, computed with GGA-PBE.

Cell lengths 7.2625, 7.2625, 8.0998 Å; angles 98.65, 98.65, 120.02 degrees
Closest atoms and distances in Å follow each position.
Fractional coordinates of all 12 atoms:
K: 0.5000 0.5000 0.5000  6 Se 3.25-3.45
Se: 0.9309 0.6221 0.7929  1 Hf 2.75, 2 Nd 2.98
Nd: 0.6661 0.3339 0.0000  6 Se 2.98
Hf: 0.0000 0.0000 0.0000  6 Se 2.75
Se: 0.2383 0.2383 0.7920  1 Hf 2.75, 2 Nd 2.98
Se: 0.6221 0.9309 0.7929  1 Hf 2.75, 2 Nd 2.98
K: 0.1719 0.8281 0.5000  6 Se 3.26-3.40
Nd: 0.3339 0.6661 0.0000  6 Se 2.98
K: 0.8281 0.1719 0.5000  6 Se 3.26-3.40
Se: 0.7617 0.7617 0.2080  1 Hf 2.75, 2 Nd 2.98
Se: 0.3779 0.0691 0.2071  1 Hf 2.75, 2 Nd 2.98
Se: 0.0691 0.3779 0.2071  1 Hf 2.75, 2 Nd 2.98

- crystal system = monoclinic
- energy relative to the elements, uncorrected (eV/atom) = -1.57
- size of the total moment (μB/cell) = 0.000

---

A relaxed structure of TiOsPdN2, computed with GGA-PBE.

Cell lengths 3.7607, 5.3206, 3.7607 Å; angles 90.00, 90.00, 90.00 degrees
Closest atoms and distances in Å follow each position.
Fractional coordinates of all 5 atoms:
Ti: 0.5000 0.5000 0.5000  4 Os 2.66
Pd: 0.0000 0.0000 0.0000  4 N 1.88
N: 0.0000 0.0000 0.5000  2 Pd 1.88
Os: 0.0000 0.5000 0.0000  4 Ti 2.66, 2 Pd 2.66
N: 0.5000 0.0000 0.0000  2 Pd 1.88

- crystal system = tetragonal
- energy relative to the elements, uncorrected (eV/atom) = 1.78
- size of the total moment (μB/cell) = 0.000

---

A relaxed structure of KYAl2, computed with GGA-PBE.

Cell lengths 3.4391, 3.4391, 9.7426 Å; angles 90.00, 90.00, 90.00 degrees
Closest atoms and distances in Å follow each position.
Fractional coordinates of all 4 atoms:
Al: 0.0000 0.0000 0.0315  4 Al 2.81, 4 Y 3.09
Y: 0.5000 0.5000 0.8356  5 Al 3.09-3.33, 4 Y 3.44
K: 0.0000 0.0000 0.4560  4 K 3.44, 4 Al 3.65
Al: 0.5000 0.5000 0.1769  4 Al 2.81

- energy relative to the lowest polymorph listed for this composition (eV/atom) = 0.097
- crystal system = tetragonal
- ΔH_f (0 K) (eV/atom) = 0.099
- size of the total moment (μB/cell) = 0.000